*P*
{
  "formula": "BaTa2Cd",
  "functional": "PBEsol",
  "state": "optimized geometry",
  "n_ef_per_ev_atom": 1.079,
  "spacegroup": "No. 65",
  "magnetic_moment_mub_per_atom": 0.0000,
  "lattice_angstrom": [[3.0430, -5.1819, 0.0000], [3.0430, 5.1819, 0.0000], [0.0000, 0.0000, 2.8701]],
  "species": ["Ba", "Ta", "Ta", "Cd"],
  "fractional_positions": [[0.0000, 0.0000, 0.0000], [0.0000, 0.5000, 0.5000], [0.5000, 0.0000, 0.5000], [0.5000, 0.5000, 0.0000]]
}

=====

*Q*
{
  "formula": "BaTa2Cd",
  "functional": "PBEsol",
  "state": "optimized geometry",
  "n_ef_per_ev_atom": 1.262,
  "spacegroup": "No. 123",
  "magnetic_moment_mub_per_atom": 0.0004,
  "lattice_angstrom": [[4.3527, 0.0000, 0.0000], [0.0000, 4.3527, 0.0000], [0.0000, 0.0000, 4.7817]],
  "species": ["Ba", "Ta", "Ta", "Cd"],
  "fractional_positions": [[0.0000, 0.0000, 0.0000], [0.0000, 0.5000, 0.5000], [0.5000, 0.0000, 0.5000], [0.5000, 0.5000, 0.0000]]
}

=====

Which of them is most stable, and which least? Most stable: *P*; least stable: *Q*.

=====

*P*
{
  "formula": "BaCd2Tc",
  "functional": "PBEsol",
  "state": "optimized geometry",
  "n_ef_per_ev_atom": 1.164,
  "spacegroup": "No. 225",
  "magnetic_moment_mub_per_atom": 0.4401,
  "lattice_angstrom": [[0.0000, 3.6484, 3.6484], [3.6484, 0.0000, 3.6484], [3.6484, 3.6484, 0.0000]],
  "species": ["Ba", "Cd", "Cd", "Tc"],
  "fractional_positions": [[0.0000, 0.0000, 0.0000], [0.2500, 0.2500, 0.2500], [0.7500, 0.7500, 0.7500], [0.5000, 0.5000, 0.5000]]
}

=====

*Q*
{
  "formula": "BaCd2Tc",
  "functional": "PBEsol",
  "state": "optimized geometry",
  "n_ef_per_ev_atom": 1.096,
  "spacegroup": "No. 99",
  "magnetic_moment_mub_per_atom": 0.2264,
  "lattice_angstrom": [[3.5812, 0.0000, 0.0000], [0.0000, 3.5812, 0.0000], [0.0000, 0.0000, 7.6547]],
  "species": ["Ba", "Cd", "Cd", "Tc"],
  "fractional_positions": [[0.0000, 0.0000, 0.0000], [0.0000, 0.0000, 0.5634], [0.5000, 0.5000, 0.3406], [0.5000, 0.5000, 0.7057]]
}

=====

*R*
{
  "formula": "BaCd2Tc",
  "functional": "PBEsol",
  "state": "optimized geometry",
  "n_ef_per_ev_atom": 1.045,
  "spacegroup": "No. 139",
  "magnetic_moment_mub_per_atom": 0.3612,
  "lattice_angstrom": [[-2.2384, 2.2384, 4.6191], [2.2384, -2.2384, 4.6191], [2.2384, 2.2384, -4.6191]],
  "species": ["Ba", "Cd", "Cd", "Tc"],
  "fractional_positions": [[0.0000, 0.0000, 0.0000], [0.2500, 0.7500, 0.5000], [0.7500, 0.2500, 0.5000], [0.5000, 0.5000, 0.0000]]
}

=====

Which of them is most stable, and which least? Most stable: *Q*; least stable: *P*.

=====

*P*
{
  "formula": "BaTlCd2",
  "functional": "PBEsol",
  "state": "optimized geometry",
  "n_ef_per_ev_atom": 0.813,
  "spacegroup": "No. 160",
  "magnetic_moment_mub_per_atom": 0.0000,
  "lattice_angstrom": [[2.4423, 1.4101, 5.9411], [-2.4423, 1.4101, 5.9411], [0.0000, -2.8202, 5.9411]],
  "species": ["Ba", "Tl", "Cd", "Cd"],
  "fractional_positions": [[0.0000, 0.0000, 0.0000], [0.2184, 0.2184, 0.2184], [0.4810, 0.4810, 0.4810], [0.7921, 0.7921, 0.7921]]
}

=====

*Q*
{
  "formula": "BaTlCd2",
  "functional": "PBEsol",
  "state": "optimized geometry",
  "n_ef_per_ev_atom": 0.347,
  "spacegroup": "No. 139",
  "magnetic_moment_mub_per_atom": 0.0000,
  "lattice_angstrom": [[-2.7100, 2.7100, 3.8542], [2.7100, -2.7100, 3.8542], [2.7100, 2.7100, -3.8542]],
  "species": ["Ba", "Tl", "Cd", "Cd"],
  "fractional_positions": [[0.0000, 0.0000, 0.0000], [0.5000, 0.5000, 0.0000], [0.2500, 0.7500, 0.5000], [0.7500, 0.2500, 0.5000]]
}

=====

Which of them is most stable, and which least? Most stable: *P*; least stable: *Q*.

=====

*P*
{
  "formula": "BaYCd",
  "functional": "PBEsol",
  "state": "optimized geometry",
  "n_ef_per_ev_atom": 0.998,
  "spacegroup": "No. 187",
  "magnetic_moment_mub_per_atom": 0.0000,
  "lattice_angstrom": [[5.3979, 0.0000, 0.0000], [-2.6989, 4.6747, 0.0000], [0.0000, 0.0000, 4.0575]],
  "species": ["Ba", "Y", "Cd"],
  "fractional_positions": [[0.0000, 0.0000, 0.0000], [0.3333, 0.6667, 0.5000], [0.6667, 0.3333, 0.5000]]
}

=====

*Q*
{
  "formula": "BaYCd",
  "functional": "PBEsol",
  "state": "optimized geometry",
  "n_ef_per_ev_atom": 0.895,
  "spacegroup": "No. 216",
  "magnetic_moment_mub_per_atom": 0.0001,
  "lattice_angstrom": [[0.0000, 3.7294, 3.7294], [3.7294, 0.0000, 3.7294], [3.7294, 3.7294, 0.0000]],
  "species": ["Ba", "Y", "Cd"],
  "fractional_positions": [[0.0000, 0.0000, 0.0000], [0.7500, 0.7500, 0.7500], [0.5000, 0.5000, 0.5000]]
}

=====

Which of them is most stable, and which least? Most stable: *P*; least stable: *Q*.

=====

*P*
{
  "formula": "Ba2ZnCd",
  "functional": "PBEsol",
  "state": "optimized geometry",
  "n_ef_per_ev_atom": 0.747,
  "spacegroup": "No. 225",
  "magnetic_moment_mub_per_atom": 0.0000,
  "lattice_angstrom": [[0.0000, 4.0838, 4.0838], [4.0838, 0.0000, 4.0838], [4.0838, 4.0838, 0.0000]],
  "species": ["Ba", "Ba", "Zn", "Cd"],
  "fractional_positions": [[0.2500, 0.2500, 0.2500], [0.7500, 0.7500, 0.7500], [0.0000, 0.0000, 0.0000], [0.5000, 0.5000, 0.5000]]
}

=====

*Q*
{
  "formula": "Ba2ZnCd",
  "functional": "PBEsol",
  "state": "optimized geometry",
  "n_ef_per_ev_atom": 0.933,
  "spacegroup": "No. 8",
  "magnetic_moment_mub_per_atom": 0.0000,
  "lattice_angstrom": [[6.4172, -1.9699, 0.0000], [6.4172, 1.9699, 0.0000], [-2.5595, 0.0000, 5.1401]],
  "species": ["Ba", "Ba", "Zn", "Cd"],
  "fractional_positions": [[0.0000, 0.0000, 0.0000], [0.1890, 0.1890, 0.6881], [0.7509, 0.7509, 0.2494], [0.4149, 0.4149, 0.4152]]
}

=====

Which of them is most stable, and which least? Most stable: *P*; least stable: *Q*.

=====

*P*
{
  "formula": "BaZrCd2",
  "functional": "PBEsol",
  "state": "optimized geometry",
  "n_ef_per_ev_atom": 1.266,
  "spacegroup": "No. 123",
  "magnetic_moment_mub_per_atom": 0.0505,
  "lattice_angstrom": [[5.6480, 0.0000, 0.0000], [0.0000, 5.6480, 0.0000], [0.0000, 0.0000, 3.2675]],
  "species": ["Ba", "Zr", "Cd", "Cd"],
  "fractional_positions": [[0.0000, 0.0000, 0.0000], [0.5000, 0.5000, 0.0000], [0.0000, 0.5000, 0.5000], [0.5000, 0.0000, 0.5000]]
}

=====

*Q*
{
  "formula": "BaZrCd2",
  "functional": "PBEsol",
  "state": "optimized geometry",
  "n_ef_per_ev_atom": 1.177,
  "spacegroup": "No. 216",
  "magnetic_moment_mub_per_atom": 0.4806,
  "lattice_angstrom": [[0.0000, 3.7311, 3.7311], [3.7311, 0.0000, 3.7311], [3.7311, 3.7311, 0.0000]],
  "species": ["Ba", "Zr", "Cd", "Cd"],
  "fractional_positions": [[0.0000, 0.0000, 0.0000], [0.2500, 0.2500, 0.2500], [0.5000, 0.5000, 0.5000], [0.7500, 0.7500, 0.7500]]
}

=====

Which of them is most stable, and which least? Most stable: *P*; least stable: *Q*.

=====

*P*
{
  "formula": "Ba2Cl",
  "functional": "PBEsol",
  "state": "optimized geometry",
  "n_ef_per_ev_atom": 1.120,
  "spacegroup": "No. 63",
  "magnetic_moment_mub_per_atom": 0.0909,
  "lattice_angstrom": [[2.0775, -15.1504, 0.0000], [2.0775, 15.1504, 0.0000], [0.0000, 0.0000, 4.0903]],
  "species": ["Ba", "Ba", "Ba", "Ba", "Cl", "Cl"],
  "fractional_positions": [[0.0650, 0.9350, 0.7500], [0.3060, 0.6940, 0.2500], [0.6940, 0.3060, 0.7500], [0.9350, 0.0650, 0.2500], [0.3946, 0.6054, 0.7500], [0.6054, 0.3946, 0.2500]]
}

=====

*Q*
{
  "formula": "Ba2Cl",
  "functional": "PBEsol",
  "state": "optimized geometry",
  "n_ef_per_ev_atom": 1.559,
  "spacegroup": "No. 194",
  "magnetic_moment_mub_per_atom": 0.1434,
  "lattice_angstrom": [[6.4609, 0.0000, 0.0000], [-3.2304, 5.5953, 0.0000], [0.0000, 0.0000, 6.7149]],
  "species": ["Ba", "Ba", "Ba", "Ba", "Cl", "Cl"],
  "fractional_positions": [[0.0000, 0.0000, 0.0000], [0.0000, 0.0000, 0.5000], [0.3333, 0.6667, 0.2500], [0.6667, 0.3333, 0.7500], [0.3333, 0.6667, 0.7500], [0.6667, 0.3333, 0.2500]]
}

=====

Which of them is most stable, and which least? Most stable: *P*; least stable: *Q*.

=====

*P*
{
  "formula": "BaCo2Cl",
  "functional": "PBEsol",
  "state": "optimized geometry",
  "n_ef_per_ev_atom": 0.833,
  "spacegroup": "No. 44",
  "magnetic_moment_mub_per_atom": 0.7488,
  "lattice_angstrom": [[-1.8009, 2.9207, 4.0912], [1.8009, -2.9207, 4.0912], [1.8009, 2.9207, -4.0912]],
  "species": ["Ba", "Co", "Co", "Cl"],
  "fractional_positions": [[0.0000, 0.0000, 0.0000], [0.5061, 0.5061, 0.0000], [0.6614, 0.1614, 0.5000], [0.3169, 0.8169, 0.5000]]
}

=====

*Q*
{
  "formula": "BaCo2Cl",
  "functional": "PBEsol",
  "state": "optimized geometry",
  "n_ef_per_ev_atom": 0.785,
  "spacegroup": "No. 141",
  "magnetic_moment_mub_per_atom": 0.1465,
  "lattice_angstrom": [[-2.3840, 2.3840, 6.9988], [2.3840, -2.3840, 6.9988], [2.3840, 2.3840, -6.9988]],
  "species": ["Ba", "Ba", "Co", "Co", "Co", "Co", "Cl", "Cl"],
  "fractional_positions": [[0.3750, 0.6250, 0.7500], [0.6250, 0.3750, 0.2500], [0.0000, 0.0000, 0.0000], [0.0000, 0.0000, 0.5000], [0.0000, 0.5000, 0.0000], [0.5000, 0.0000, 0.5000], [0.1250, 0.8750, 0.2500], [0.8750, 0.1250, 0.7500]]
}

=====

*R*
{
  "formula": "BaCo2Cl",
  "functional": "PBEsol",
  "state": "optimized geometry",
  "n_ef_per_ev_atom": 1.284,
  "spacegroup": "No. 123",
  "magnetic_moment_mub_per_atom": 0.8735,
  "lattice_angstrom": [[3.9803, 0.0000, 0.0000], [0.0000, 3.9803, 0.0000], [0.0000, 0.0000, 5.8343]],
  "species": ["Ba", "Co", "Co", "Cl"],
  "fractional_positions": [[0.0000, 0.0000, 0.0000], [0.0000, 0.5000, 0.5000], [0.5000, 0.0000, 0.5000], [0.5000, 0.5000, 0.0000]]
}

=====

Which of them is most stable, and which least? Most stable: *Q*; least stable: *R*.

=====

*P*
{
  "formula": "BaCoCl2",
  "functional": "PBEsol",
  "state": "optimized geometry",
  "n_ef_per_ev_atom": 0.915,
  "spacegroup": "No. 8",
  "magnetic_moment_mub_per_atom": 0.2501,
  "lattice_angstrom": [[5.4975, -1.9679, 0.0000], [5.4975, 1.9679, 0.0000], [-1.1489, 0.0000, 4.2357]],
  "species": ["Ba", "Co", "Cl", "Cl"],
  "fractional_positions": [[0.0000, 0.0000, 0.0000], [0.7708, 0.7708, 0.3574], [0.3123, 0.3123, 0.2193], [0.6110, 0.6110, 0.5813]]
}

=====

*Q*
{
  "formula": "BaCoCl2",
  "functional": "PBEsol",
  "state": "optimized geometry",
  "n_ef_per_ev_atom": 0.405,
  "spacegroup": "No. 6",
  "magnetic_moment_mub_per_atom": 0.2498,
  "lattice_angstrom": [[4.5092, 0.0000, 0.0000], [0.0000, 4.0959, 0.0000], [-2.2455, 0.0000, 5.3227]],
  "species": ["Ba", "Co", "Cl", "Cl"],
  "fractional_positions": [[0.0000, 0.0000, 0.0000], [0.3590, 0.5000, 0.7166], [0.2972, 0.0000, 0.5926], [0.5745, 0.5000, 0.1497]]
}

=====

Which of them is most stable, and which least? Most stable: *Q*; least stable: *P*.

=====

*P*
{
  "formula": "Ba2CoCl",
  "functional": "PBEsol",
  "state": "optimized geometry",
  "n_ef_per_ev_atom": 1.013,
  "spacegroup": "No. 123",
  "magnetic_moment_mub_per_atom": 0.0700,
  "lattice_angstrom": [[4.4468, 0.0000, 0.0000], [0.0000, 4.4468, 0.0000], [0.0000, 0.0000, 6.1442]],
  "species": ["Ba", "Ba", "Co", "Cl"],
  "fractional_positions": [[0.0000, 0.0000, 0.0000], [0.5000, 0.5000, 0.5000], [0.0000, 0.0000, 0.5000], [0.5000, 0.5000, 0.0000]]
}

=====

*Q*
{
  "formula": "Ba2CoCl",
  "functional": "PBEsol",
  "state": "optimized geometry",
  "n_ef_per_ev_atom": 1.636,
  "spacegroup": "No. 225",
  "magnetic_moment_mub_per_atom": 0.0503,
  "lattice_angstrom": [[0.0000, 3.7864, 3.7864], [3.7864, 0.0000, 3.7864], [3.7864, 3.7864, 0.0000]],
  "species": ["Ba", "Ba", "Co", "Cl"],
  "fractional_positions": [[0.2500, 0.2500, 0.2500], [0.7500, 0.7500, 0.7500], [0.0000, 0.0000, 0.0000], [0.5000, 0.5000, 0.5000]]
}

=====

Which of them is most stable, and which least? Most stable: *P*; least stable: *Q*.